(1)
Below is crystalline AlZnOF2 at its relaxed geometry, with properties calculated at the PBE level.

## Properties
Its formation energy from raw total energies is -7.698 eV per formula unit. The value obtained for the energy above the most stable polymorph in this dataset is 607 meV/atom.

Lattice parameters (Å, degrees): 3.4510 3.4510 5.8066 90.00 90.00 90.00
Space group P4/mmm (No. 123)
Asymmetric unit:
Al: 0.0000 0.0000 0.0000 x1
Zn: 0.0000 0.0000 0.5000 x1
O: 0.5000 0.5000 0.5000 x1
F: 0.0000 0.5000 0.0000 x2

=====

(2)
Below is crystalline Sr2NiNCl at its relaxed geometry, with properties calculated at the PBE level.

## Properties
Its formation energy from raw total energies is 1.849 eV per formula unit. The value obtained for the energy above the most stable polymorph in this dataset is 1362 meV/atom.

Lattice parameters (Å, degrees): 5.5121 5.5121 4.0686 90.00 90.00 90.00
Space group P4/mmm (No. 123)
Asymmetric unit:
Sr: 0.0000 0.5000 0.0000 x2
Ni: 0.0000 0.0000 0.5000 x1
N: 0.5000 0.5000 0.5000 x1
Cl: 0.5000 0.5000 0.0000 x1

=====

(3)
Below is crystalline Be2InAs at its relaxed geometry, with properties calculated at the PBE level.

## Properties
The calculation puts the calculated formation energy at 1.32 eV per formula unit. The value obtained for the energy above the most stable polymorph in this dataset is 87 meV/atom.

Lattice parameters (Å, degrees): 6.0083 6.0083 8.7684 90.00 90.00 90.00
Space group I-42d (No. 122)
Asymmetric unit:
Be: 0.1859 0.2500 0.1250 x8
In: 0.0000 0.0000 0.5000 x4
As: 0.0000 0.0000 0.0000 x4

=====

(4)
Below is crystalline Rb4Cd2Hg3 at its relaxed geometry, with properties calculated at the PBE level.

## Properties
The calculation puts the calculated formation energy at -1.30 eV per formula unit.

Lattice parameters (Å, degrees): 19.7079 4.8078 8.6614 90.00 108.47 90.00
Space group C2/m (No. 12)
Asymmetric unit:
Rb: 0.0757 0.0000 0.3872 x4
Rb: 0.2341 0.5000 0.1968 x4
Cd: 0.0879 0.0000 0.9498 x4
Hg: 0.0000 0.5000 0.0000 x2
Hg: 0.1104 0.5000 0.7515 x4

=====

(5)
Below is crystalline Al2Tc2Pt at its relaxed geometry, with properties calculated at the PBE level.

## Properties
The calculation puts the calculated formation energy at -1.21 eV per formula unit. The value obtained for the energy above the most stable polymorph in this dataset is 0 meV/atom.

Lattice parameters (Å, degrees): 6.5368 6.5368 3.4326 90.00 90.00 90.00
Space group P4/mbm (No. 127)
Asymmetric unit:
Al: 0.1348 0.3652 0.0000 x4
Tc: 0.1680 0.6680 0.5000 x4
Pt: 0.0000 0.0000 0.0000 x2

=====

no.,theoretical density (Mg/m³)
1,3.5
2,3.8
3,4.4
4,5.0
5,10.1